# SCAN SrWSe, single point on PBEsol structure
data_SrWSe
_cell_length_a 6.6970
_cell_length_b 6.6970
_cell_length_c 6.6970
_cell_angle_alpha 90.00
_cell_angle_beta 90.00
_cell_angle_gamma 90.00
_space_group_name_H-M_alt 'F -4 3 m'
_space_group_IT_number 216
_space_group_name_Hall 'F -4 2 3'
loop_
_atom_site_label
_atom_site_type_symbol
_atom_site_fract_x
_atom_site_fract_y
_atom_site_fract_z
Sr1 Sr 0.0000 0.0000 0.0000
W1 W 0.2500 0.2500 0.7500
Se1 Se 0.0000 0.0000 0.5000
# Raw formation energy, eV/atom: 1.1675

# SCAN K2Tl, single point on PBEsol structure
data_K2Tl
_cell_length_a 9.1234
_cell_length_b 9.1234
_cell_length_c 6.4403
_cell_angle_alpha 90.00
_cell_angle_beta 90.00
_cell_angle_gamma 90.00
_space_group_name_H-M_alt 'I 4/m c m'
_space_group_IT_number 140
_space_group_name_Hall '-I 4 2c'
loop_
_atom_site_label
_atom_site_type_symbol
_atom_site_fract_x
_atom_site_fract_y
_atom_site_fract_z
K1 K 0.1674 0.3326 0.0000
Tl1 Tl 0.0000 0.0000 0.2500
# ΔE_f, eV per atom: -0.12

# SCAN La2AlRh, single point on PBEsol structure
data_La2AlRh
_cell_length_a 3.8378
_cell_length_b 3.7538
_cell_length_c 6.7314
_cell_angle_alpha 90.00
_cell_angle_beta 96.45
_cell_angle_gamma 90.00
_space_group_name_H-M_alt 'P 1 2/m 1'
_space_group_IT_number 10
_space_group_name_Hall '-P 2y'
loop_
_atom_site_label
_atom_site_type_symbol
_atom_site_fract_x
_atom_site_fract_y
_atom_site_fract_z
La1 La 0.0665 0.0000 0.2705
Al1 Al 0.5000 0.5000 0.0000
Rh1 Rh 0.5000 0.5000 0.5000
# ΔE_f, eV per atom: -0.53

# SCAN LaScIr2, single point on PBEsol structure
data_LaScIr2
_cell_length_a 3.2286
_cell_length_b 3.2286
_cell_length_c 7.2093
_cell_angle_alpha 90.00
_cell_angle_beta 90.00
_cell_angle_gamma 90.00
_space_group_name_H-M_alt 'P 4/m m m'
_space_group_IT_number 123
_space_group_name_Hall '-P 4 2'
loop_
_atom_site_label
_atom_site_type_symbol
_atom_site_fract_x
_atom_site_fract_y
_atom_site_fract_z
La1 La 0.0000 0.0000 0.0000
Sc1 Sc 0.0000 0.0000 0.5000
Ir1 Ir 0.5000 0.5000 0.2850
# ΔE_f, eV per atom: -0.88

# SCAN CaGaSe2, single point on PBEsol structure
data_CaGaSe2
_cell_length_a 6.0683
_cell_length_b 6.0683
_cell_length_c 13.3035
_cell_angle_alpha 90.00
_cell_angle_beta 90.00
_cell_angle_gamma 90.00
_space_group_name_H-M_alt 'I -4 2 d'
_space_group_IT_number 122
_space_group_name_Hall 'I -4 2bw'
loop_
_atom_site_label
_atom_site_type_symbol
_atom_site_fract_x
_atom_site_fract_y
_atom_site_fract_z
Ca1 Ca 0.0000 0.0000 0.0000
Ga1 Ga 0.0000 0.0000 0.5000
Se1 Se 0.2116 0.2500 0.6250
# Raw formation energy, eV/atom: -1.0591

# SCAN AlAuI2O, single point on PBEsol structure
data_AlAuI2O
_cell_length_a 5.6972
_cell_length_b 5.6972
_cell_length_c 3.9475
_cell_angle_alpha 90.00
_cell_angle_beta 90.00
_cell_angle_gamma 90.00
_space_group_name_H-M_alt 'P 4/m m m'
_space_group_IT_number 123
_space_group_name_Hall '-P 4 2'
loop_
_atom_site_label
_atom_site_type_symbol
_atom_site_fract_x
_atom_site_fract_y
_atom_site_fract_z
Al1 Al 0.0000 0.0000 0.0000
Au1 Au 0.5000 0.5000 0.5000
I1 I 0.0000 0.5000 0.5000
O1 O 0.5000 0.5000 0.0000
# Raw formation energy, eV/atom: 0.2365

# SCAN Cs4UGe8O20, single point on PBEsol structure
data_Cs4UGe8O20
_cell_length_a 7.4699
_cell_length_b 12.4248
_cell_length_c 14.1412
_cell_angle_alpha 90.00
_cell_angle_beta 121.20
_cell_angle_gamma 90.00
_space_group_name_H-M_alt 'P 1 21/c 1'
_space_group_IT_number 14
_space_group_name_Hall '-P 2ybc'
loop_
_atom_site_label
_atom_site_type_symbol
_atom_site_fract_x
_atom_site_fract_y
_atom_site_fract_z
Cs1 Cs 0.1711 0.0820 0.1712
Cs2 Cs 0.1904 0.0550 0.6773
U1 U 0.5000 0.0000 0.5000
Ge1 Ge 0.1470 0.2350 0.4268
Ge2 Ge 0.2519 0.7237 0.8062
Ge3 Ge 0.2917 0.7292 0.0964
Ge4 Ge 0.4651 0.6081 0.4996
O1 O 0.0150 0.7453 0.0146
O2 O 0.0223 0.2014 0.7951
O3 O 0.2086 0.1006 0.4206
O4 O 0.2391 0.7026 0.4083
O5 O 0.3295 0.0049 0.9119
O6 O 0.3457 0.7001 0.2339
O7 O 0.3626 0.1901 0.0258
O8 O 0.3663 0.5965 0.8479
O9 O 0.3688 0.6075 0.0676
O10 O 0.4383 0.6523 0.6154
# Raw formation energy, eV/atom: -2.0430

# SCAN Hf2ZrZn2, single point on PBEsol structure
data_Hf2ZrZn2
_cell_length_a 7.5636
_cell_length_b 7.5636
_cell_length_c 3.2434
_cell_angle_alpha 90.00
_cell_angle_beta 90.00
_cell_angle_gamma 90.00
_space_group_name_H-M_alt 'P 4/m b m'
_space_group_IT_number 127
_space_group_name_Hall '-P 4 2ab'
loop_
_atom_site_label
_atom_site_type_symbol
_atom_site_fract_x
_atom_site_fract_y
_atom_site_fract_z
Hf1 Hf 0.1778 0.3222 0.0000
Zr1 Zr 0.0000 0.0000 0.5000
Zn1 Zn 0.1193 0.6193 0.5000
# ΔE_f, eV per atom: -0.19

What did we get for raw total energy? Answer: -36.1797 -29.7895 -32.4615 -50.7624 -17.6007 -31.0881 -18.1671 -36.8003 eV/atom, in the order shown.